# Li3Sm2ScS6 | the Alexandria database | GGA-PBE | optimized geometry
# - Raw formation energy: -1.7827 eV per atom
data_Li3Sm2ScS6
_space_group_name_H-M_alt 'C 1 2/m 1'
_space_group_IT_number 12
_space_group_name_Hall '-C 2y'
_cell_length_a 6.767
_cell_length_b 11.759
_cell_length_c 6.548
_cell_angle_alpha 90.00
_cell_angle_beta 109.70
_cell_angle_gamma 90.00
loop_
_atom_site_label
_atom_site_type_symbol
_atom_site_fract_x
_atom_site_fract_y
_atom_site_fract_z
_atom_site_occupancy
Li1 Li 0.000 0.000 0.000 1
Li2 Li 0.000 0.346 0.000 1
Sm1 Sm 0.000 0.168 0.500 1
Sc1 Sc 0.000 0.500 0.500 1
S1 S 0.235 0.500 0.254 1
S2 S 0.239 0.343 0.750 1